# YFeCoPd2

A relaxed structure of YFeCoPd2 (PBE-GGA, the Alexandria database).

Calculated values
Energy of formation from the pure elements ... 691 meV/atom
DOS at the Fermi energy ... 2.09 states/eV per atom

The structure in POSCAR format:
```
YFeCoPd2
1.0
4.6359 0.0000 0.0000
0.0000 4.7381 0.0000
0.0000 0.0000 4.6359
Pd Y Co Fe
2 1 1 1
Cartesian
0.0000 0.0000 2.3179
2.3179 0.0000 0.0000
0.0000 2.3691 0.0000
0.0000 0.0000 0.0000
2.3179 2.3691 2.3179
```